[1]
A relaxed structure of KIrOs2. Source: Alexandria, functional PBEsol.

a b c (Å): 5.5980 8.8116 2.5879
angles (deg): 90.00 90.00 90.00
Space group Cmmm (No. 65)
Asymmetric unit:
K: 0.0000 0.0000 0.0000 [2 per cell]
Ir: 0.0000 0.5000 0.0000 [2 per cell]
Os: 0.2500 0.2500 0.5000 [4 per cell]

Summary:
- excess energy over the best structure of this formula in the dataset (eV per atom) = 0.615
- calculated formation energy (kJ/mol of formula units) = 557

---

[2]
A relaxed structure of Sb2F7. Source: Alexandria, functional PBEsol.

a b c (Å): 4.6840 10.7830 10.7528
angles (deg): 90.00 94.35 90.00
Space group P2_1/m (No. 11)
Asymmetric unit:
Sb: 0.0751 0.2500 0.4754 [2 per cell]
Sb: 0.2996 0.5592 0.2314 [4 per cell]
Sb: 0.3708 0.7500 0.9252 [2 per cell]
F: 0.1034 0.0155 0.7796 [4 per cell]
F: 0.1456 0.6243 0.4500 [4 per cell]
F: 0.1659 0.7500 0.2213 [2 per cell]
F: 0.1844 0.7500 0.6694 [2 per cell]
F: 0.2501 0.5865 0.0455 [4 per cell]
F: 0.2944 0.1226 0.4043 [4 per cell]
F: 0.3346 0.2500 0.6211 [2 per cell]
F: 0.3407 0.2500 0.9366 [2 per cell]
F: 0.3518 0.1263 0.1515 [4 per cell]

Summary:
- formation energy from raw total energies (eV per atom) = -2.348

---

[3]
A relaxed structure of KMoIO2. Source: Alexandria, functional PBEsol.

a b c (Å): 4.0484 4.0484 5.6818
angles (deg): 90.00 90.00 90.00
Space group P4/mmm (No. 123)
Asymmetric unit:
K: 0.0000 0.0000 0.0000 [1 per cell]
Mo: 0.5000 0.5000 0.5000 [1 per cell]
I: 0.5000 0.5000 0.0000 [1 per cell]
O: 0.0000 0.5000 0.5000 [2 per cell]

Summary:
- formation energy from raw total energies (eV per atom) = -1.060

---

[4]
A relaxed structure of BaSr3Pt. Source: Alexandria, functional PBEsol.

a b c (Å): 5.9935 5.9935 5.9935
angles (deg): 90.00 90.00 90.00
Space group Pm-3m (No. 221)
Asymmetric unit:
Ba: 0.0000 0.0000 0.0000 [1 per cell]
Sr: 0.0000 0.5000 0.5000 [3 per cell]
Pt: 0.5000 0.5000 0.5000 [1 per cell]

Summary:
- excess energy over the best structure of this formula in the dataset (eV per atom) = 0.000
- calculated formation energy (kJ/mol of formula units) = -177

---

[5]
A relaxed structure of ScFeAu2. Source: Alexandria, functional PBEsol.

a b c (Å): 3.0343 4.5090 4.7704
angles (deg): 90.00 90.00 90.00
Space group Pmm2 (No. 25)
Asymmetric unit:
Sc: 0.0000 0.0000 0.0000 [1 per cell]
Fe: 0.0000 0.5000 0.6256 [1 per cell]
Au: 0.5000 0.0000 0.5111 [1 per cell]
Au: 0.5000 0.5000 0.1450 [1 per cell]

Summary:
- calculated formation energy (kJ/mol of formula units) = -90

---

[6]
A relaxed structure of RbCu2H3S2O10. Source: Alexandria, functional PBEsol.

a b c (Å): 9.0751 6.3090 7.7373
angles (deg): 90.00 118.22 90.00
Space group Cm (No. 8)
Asymmetric unit:
Rb: 0.0000 0.0000 0.0000 [2 per cell]
Cu: 0.2522 0.2536 0.4984 [4 per cell]
H: 0.0203 0.0000 0.5113 [2 per cell]
H: 0.2096 0.0000 0.7211 [2 per cell]
H: 0.2943 0.5000 0.2837 [2 per cell]
S: 0.0745 0.5000 0.7827 [2 per cell]
S: 0.4264 0.0000 0.2169 [2 per cell]
O: 0.0353 0.3052 0.2757 [4 per cell]
O: 0.1580 0.0000 0.5752 [2 per cell]
O: 0.1771 0.5000 0.6806 [2 per cell]
O: 0.1783 0.5000 0.9956 [2 per cell]
O: 0.3224 0.0000 0.0038 [2 per cell]
O: 0.3231 0.0000 0.3184 [2 per cell]
O: 0.3471 0.5000 0.4293 [2 per cell]
O: 0.4658 0.1951 0.7247 [4 per cell]

Summary:
- VASP energy (eV/atom) = -5.720